Entry 1:
The following is a PBE calculation of an optimized crystal structure of Nd4Sm3TmSe8, from Alexandria.

The structure belongs to space group R-3m (No. 166, hexagonal axes); the cell edges are 8.3404, 8.3404 and 20.6479 Å and the angles 90.00°, 90.00° and 120.00°. The asymmetric unit holds Nd at (0.0000, 0.0000, 0.0000), Nd at (0.0000, 0.5000, 0.0000), Sm at (0.0000, 0.5000, 0.5000), Tm at (0.0000, 0.0000, 0.5000), Se at (0.0000, 0.0000, 0.2482) and Se at (0.0076, 0.5038, 0.2463).

As for the total energy: -5.90 eV/atom. The formation energy from raw total energies comes out at -1.803 eV/atom.

---

Entry 2:
The following is a PBE calculation of an optimized crystal structure of Nd4SmTmSe8, from Alexandria.

The structure belongs to space group R3m (No. 160, hexagonal axes); the cell edges are 8.6289, 8.6289 and 21.1091 Å and the angles 90.00°, 90.00° and 120.00°. The asymmetric unit holds Nd at (0.0000, 0.0000, 0.0000), Nd at (0.1694, 0.3389, 0.2080), Sm at (0.0000, 0.0000, 0.3774), Tm at (0.0000, 0.0000, 0.7506), Se at (0.0000, 0.0000, 0.1334), Se at (0.0000, 0.0000, 0.6230), Se at (0.0092, 0.5046, 0.1251) and Se at (0.1790, 0.3579, 0.9569).

As for the total energy: -5.73 eV/atom. The formation energy from raw total energies comes out at -1.721 eV/atom.

---

Entry 3:
The following is a PBE calculation of an optimized crystal structure of Nd2SmTmSe5, from Alexandria.

The structure belongs to space group P4/mmm (No. 123); the cell edges are 5.076, 5.076 and 10.857 Å and the angles 90.00°, 90.00° and 90.00°. The asymmetric unit holds Nd at (0.000, 0.000, 0.179), Sm at (0.500, 0.500, 0.500), Tm at (0.500, 0.500, 0.000), Se at (0.000, 0.000, 0.500), Se at (0.000, 0.500, 0.000) and Se at (0.500, 0.500, 0.250).

As for the total energy: -5.33 eV/atom. The formation energy from raw total energies comes out at -1.309 eV/atom.

---

Entry 4:
The following is a PBE calculation of an optimized crystal structure of NdSmTm2Se4, from Alexandria.

The structure belongs to space group P2/m (No. 10); the cell edges are 7.018, 4.028 and 7.327 Å and the angles 90.00°, 108.45° and 90.00°. The asymmetric unit holds Nd at (0.000, 0.000, 0.000), Sm at (0.500, 0.500, 0.000), Tm at (0.000, 0.500, 0.500), Tm at (0.500, 0.000, 0.500), Se at (0.246, 0.000, 0.733) and Se at (0.258, 0.500, 0.269).

As for the total energy: -5.80 eV/atom. The formation energy from raw total energies comes out at -1.752 eV/atom.

---

Entry 5:
The following is a PBE calculation of an optimized crystal structure of NdSm4TmSe8, from Alexandria.

The structure belongs to space group R3m (No. 160, hexagonal axes); the cell edges are 8.5658, 8.5658 and 21.0165 Å and the angles 90.00°, 90.00° and 120.00°. The asymmetric unit holds Nd at (0.0000, 0.0000, 0.0000), Sm at (0.0000, 0.0000, 0.3763), Sm at (0.0038, 0.5019, 0.5021), Tm at (0.0000, 0.0000, 0.6268), Se at (0.0000, 0.0000, 0.2432), Se at (0.0000, 0.0000, 0.7557), Se at (0.0192, 0.5096, 0.7553) and Se at (0.1706, 0.3412, 0.5825).

As for the total energy: -5.72 eV/atom. The formation energy from raw total energies comes out at -1.721 eV/atom.

---

Entry 6:
The following is a PBE calculation of an optimized crystal structure of Nd2Sm3YSe6, from Alexandria.

The structure belongs to space group C2/m (No. 12); the cell edges are 18.183, 4.163 and 8.401 Å and the angles 90.00°, 103.16° and 90.00°. The asymmetric unit holds Nd at (0.168, 0.000, 0.336), Sm at (0.000, 0.500, 0.500), Sm at (0.170, 0.000, 0.833), Y at (0.000, 0.500, 0.000), Se at (0.002, 0.000, 0.757), Se at (0.163, 0.500, 0.078) and Se at (0.165, 0.500, 0.586).

As for the total energy: -6.07 eV/atom. The formation energy from raw total energies comes out at -1.815 eV/atom.

---

Entry 7:
The following is a PBE calculation of an optimized crystal structure of NdSm3Y2Se6, from Alexandria.

The structure belongs to space group C2/m (No. 12); the cell edges are 7.174, 12.486 and 7.200 Å and the angles 90.00°, 109.47° and 90.00°. The asymmetric unit holds Nd at (0.000, 0.000, 0.000), Sm at (0.000, 0.161, 0.500), Sm at (0.000, 0.500, 0.500), Y at (0.000, 0.334, 0.000), Se at (0.239, 0.500, 0.243) and Se at (0.247, 0.329, 0.752).

As for the total energy: -6.20 eV/atom. The formation energy from raw total energies comes out at -1.806 eV/atom.

---

Entry 8:
The following is a PBE calculation of an optimized crystal structure of NdSm3Y3Se8, from Alexandria.

The structure belongs to space group R-3m (No. 166, hexagonal axes); the cell edges are 8.2331, 8.2331 and 20.2346 Å and the angles 90.00°, 90.00° and 120.00°. The asymmetric unit holds Nd at (0.0000, 0.0000, 0.0000), Sm at (0.0000, 0.5000, 0.5000), Y at (0.0000, 0.5000, 0.0000), Se at (0.0000, 0.0000, 0.2525) and Se at (0.0132, 0.5066, 0.2492).

As for the total energy: -6.27 eV/atom. The formation energy from raw total energies comes out at -1.854 eV/atom.

---

Entry 9:
The following is a PBE calculation of an optimized crystal structure of NdSm2YSe6, from Alexandria.

The structure belongs to space group R3 (No. 146, hexagonal axes); the cell edges are 7.3695, 7.3695 and 19.7086 Å and the angles 90.00°, 90.00° and 120.00°. The asymmetric unit holds Nd at (0.0000, 0.0000, 0.0000), Sm at (0.0000, 0.0000, 0.2970), Sm at (0.0000, 0.0000, 0.7997), Y at (0.0000, 0.0000, 0.4963), Se at (0.0044, 0.7048, 0.3991) and Se at (0.0317, 0.3571, 0.5650).

As for the total energy: -6.00 eV/atom. The formation energy from raw total energies comes out at -1.846 eV/atom.

---

Entry 10:
The following is a PBE calculation of an optimized crystal structure of NdSm2YSe4, from Alexandria.

The structure belongs to space group P2/m (No. 10); the cell edges are 7.212, 4.119 and 7.282 Å and the angles 90.00°, 108.90° and 90.00°. The asymmetric unit holds Nd at (0.000, 0.000, 0.000), Sm at (0.500, 0.000, 0.500), Sm at (0.500, 0.500, 0.000), Y at (0.000, 0.500, 0.500), Se at (0.246, 0.000, 0.743) and Se at (0.251, 0.500, 0.256).

As for the total energy: -6.13 eV/atom. The formation energy from raw total energies comes out at -1.805 eV/atom.

---

Entry 11:
The following is a PBE calculation of an optimized crystal structure of Nd2SmYSe6, from Alexandria.

The structure belongs to space group R3 (No. 146, hexagonal axes); the cell edges are 7.3973, 7.3973 and 19.7132 Å and the angles 90.00°, 90.00° and 120.00°. The asymmetric unit holds Nd at (0.0000, 0.0000, 0.0000), Nd at (0.0000, 0.0000, 0.4984), Sm at (0.0000, 0.0000, 0.2974), Y at (0.0000, 0.0000, 0.7994), Se at (0.0089, 0.7062, 0.8955) and Se at (0.0159, 0.3111, 0.3961).

As for the total energy: -6.01 eV/atom. The formation energy from raw total energies comes out at -1.845 eV/atom.

---

Entry 12:
The following is a PBE calculation of an optimized crystal structure of NdSm2Y3Se6, from Alexandria.

The structure belongs to space group C2/m (No. 12); the cell edges are 7.121, 12.407 and 7.216 Å and the angles 90.00°, 109.32° and 90.00°. The asymmetric unit holds Nd at (0.000, 0.000, 0.000), Sm at (0.000, 0.334, 0.000), Y at (0.000, 0.165, 0.500), Y at (0.000, 0.500, 0.500), Se at (0.245, 0.332, 0.740) and Se at (0.250, 0.000, 0.741).

As for the total energy: -6.34 eV/atom. The formation energy from raw total energies comes out at -1.799 eV/atom.

---

Entry 13:
The following is a PBE calculation of an optimized crystal structure of Nd8SnSe6, from Alexandria.

The structure belongs to space group P-3 (No. 147); the cell edges are 10.8852, 10.8852 and 4.2407 Å and the angles 90.00°, 90.00° and 120.00°. The asymmetric unit holds Nd at (0.0347, 0.3244, 0.2470), Nd at (0.3333, 0.6667, 0.7510), Sn at (0.0000, 0.0000, 0.0000) and Se at (0.1318, 0.6489, 0.2497).

As for the total energy: -5.61 eV/atom. The formation energy from raw total energies comes out at -1.407 eV/atom.

---

Entry 14:
The following is a PBE calculation of an optimized crystal structure of NdSnSe3, from Alexandria.

The structure belongs to space group P2_1/m (No. 11); the cell edges are 7.306, 4.809 and 9.973 Å and the angles 90.00°, 100.97° and 90.00°. The asymmetric unit holds Nd at (0.210, 0.250, 0.422), Sn at (0.379, 0.250, 0.863), Se at (0.029, 0.250, 0.654), Se at (0.278, 0.750, 0.946) and Se at (0.459, 0.750, 0.355).

As for the total energy: -4.87 eV/atom. The formation energy from raw total energies comes out at -1.022 eV/atom. For the polymorph energy (0 for the lowest one), the calculation gives 51 meV per atom.

---

Entry 15:
The following is a PBE calculation of an optimized crystal structure of Nd2SnSe5, from Alexandria.

The structure belongs to space group Pbam (No. 55); the cell edges are 8.263, 12.172 and 4.100 Å and the angles 90.00°, 90.00° and 90.00°. The asymmetric unit holds Nd at (0.034, 0.174, 0.000), Sn at (0.000, 0.500, 0.500), Se at (0.000, 0.000, 0.500), Se at (0.173, 0.405, 0.000) and Se at (0.175, 0.696, 0.500).

As for the total energy: -5.18 eV/atom. The formation energy from raw total energies comes out at -1.313 eV/atom. For the polymorph energy (0 for the lowest one), the calculation gives 0 meV per atom.

---

Entry 16:
The following is a PBE calculation of an optimized crystal structure of Nd7SnSe5, from Alexandria.

The structure belongs to space group Cmcm (No. 63); the cell edges are 4.282, 13.817 and 25.070 Å and the angles 90.00°, 90.00° and 90.00°. The asymmetric unit holds Nd at (0.000, 0.028, 0.250), Nd at (0.000, 0.137, 0.537), Nd at (0.000, 0.317, 0.177), Nd at (0.000, 0.406, 0.614), Sn at (0.000, 0.305, 0.750), Se at (0.000, 0.047, 0.642), Se at (0.000, 0.226, 0.071) and Se at (0.000, 0.500, 0.000).

As for the total energy: -5.77 eV/atom. The formation energy from raw total energies comes out at -1.553 eV/atom.

---

Entry 17:
The following is a PBE calculation of an optimized crystal structure of Nd3SnSe6, from Alexandria.

The structure belongs to space group Cmc2_1 (No. 36); the cell edges are 11.517, 14.401 and 7.192 Å and the angles 90.00°, 90.00° and 90.00°. The asymmetric unit holds Nd at (0.000, 0.096, 0.000), Nd at (0.186, 0.403, 0.908), Sn at (0.000, 0.301, 0.375), Se at (0.000, 0.278, 0.762), Se at (0.000, 0.471, 0.201), Se at (0.162, 0.032, 0.705) and Se at (0.175, 0.230, 0.174).

As for the total energy: -5.39 eV/atom. The formation energy from raw total energies comes out at -1.467 eV/atom.

---

Entry 18:
The following is a PBE calculation of an optimized crystal structure of NdSnSe3, from Alexandria.

The structure belongs to space group Pnma (No. 62); the cell edges are 8.436, 4.109 and 15.114 Å and the angles 90.00°, 90.00° and 90.00°. The asymmetric unit holds Nd at (0.146, 0.250, 0.194), Sn at (0.184, 0.750, 0.450), Se at (0.006, 0.750, 0.623), Se at (0.144, 0.250, 0.792) and Se at (0.148, 0.750, 0.046).

As for the total energy: -4.92 eV/atom. The formation energy from raw total energies comes out at -1.073 eV/atom. For the polymorph energy (0 for the lowest one), the calculation gives 0 meV per atom.

---

Entry 19:
The following is a PBE calculation of an optimized crystal structure of Nd2SnSe4, from Alexandria.

The structure belongs to space group Pbam (No. 55); the cell edges are 7.536, 12.251 and 4.355 Å and the angles 90.00°, 90.00° and 90.00°. The asymmetric unit holds Nd at (0.086, 0.176, 0.000), Sn at (0.000, 0.500, 0.500), Se at (0.148, 0.721, 0.500) and Se at (0.240, 0.957, 0.000).

As for the total energy: -5.33 eV/atom. The formation energy from raw total energies comes out at -1.403 eV/atom. For the polymorph energy (0 for the lowest one), the calculation gives 7 meV per atom.